A plane-wave DFT calculation with GGA-PBE was carried out for a relaxed Ho7Tm2In crystal.

- crystal system = orthorhombic
- Fermi-level density of states (states/eV per cell) = 18.18
- total magnetization (μB per formula unit) = 0.00
- energy (eV/cell) = -75.61
- energy of formation from the pure elements (eV/atom) = 0.59

Geometry as CIF:
```
data_Ho7Tm2In
_chemical_formula_sum 'Ho14 Tm4 In2'
_cell_length_a 8.637
_cell_length_b 16.099
_cell_length_c 5.285
_cell_angle_alpha 90.00
_cell_angle_beta 90.00
_cell_angle_gamma 90.00
_space_group_name_H-M_alt 'C m m m'
_space_group_IT_number 65
_space_group_name_Hall '-C 2 2'
loop_
_atom_site_label
_atom_site_type_symbol
_atom_site_fract_x
_atom_site_fract_y
_atom_site_fract_z
Ho1 Ho 0.000 0.000 0.000
Ho2 Ho 0.000 0.300 0.500
Ho3 Ho 0.177 0.393 0.000
Tm1 Tm 0.000 0.207 0.000
In1 In 0.000 0.500 0.500
```



A plane-wave DFT calculation with GGA-PBE was carried out for a relaxed Ho3Tm4In4 crystal.

- crystal system = orthorhombic
- Fermi-level density of states (states/eV per cell) = 22.78
- total magnetization (μB per formula unit) = 0.00
- energy (eV/cell) = -89.21
- energy of formation from the pure elements (eV/atom) = -0.18

Geometry as CIF:
```
data_Ho3Tm4In4
_chemical_formula_sum 'Ho6 Tm8 In8'
_cell_length_a 4.627
_cell_length_b 8.560
_cell_length_c 16.389
_cell_angle_alpha 90.00
_cell_angle_beta 90.00
_cell_angle_gamma 90.00
_space_group_name_H-M_alt 'I m m m'
_space_group_IT_number 71
_space_group_name_Hall '-I 2 2'
loop_
_atom_site_label
_atom_site_type_symbol
_atom_site_fract_x
_atom_site_fract_y
_atom_site_fract_z
Ho1 Ho 0.000 0.000 0.000
Ho2 Ho 0.000 0.500 0.119
Tm1 Tm 0.000 0.301 0.330
In1 In 0.000 0.000 0.226
In2 In 0.000 0.177 0.500
```



A plane-wave DFT calculation with GGA-PBE was carried out for a relaxed Ho3Tm2In4 crystal.

- crystal system = orthorhombic
- Fermi-level density of states (states/eV per cell) = 26.73
- total magnetization (μB per formula unit) = 0.00
- energy (eV/cell) = -142.56
- energy of formation from the pure elements (eV/atom) = -0.22

Geometry as CIF:
```
data_Ho3Tm2In4
_chemical_formula_sum 'Ho12 Tm8 In16'
_cell_length_a 6.920
_cell_length_b 15.340
_cell_length_c 9.764
_cell_angle_alpha 90.00
_cell_angle_beta 90.00
_cell_angle_gamma 90.00
_space_group_name_H-M_alt 'C m c e'
_space_group_IT_number 64
_space_group_name_Hall '-C 2ac 2'
loop_
_atom_site_label
_atom_site_type_symbol
_atom_site_fract_x
_atom_site_fract_y
_atom_site_fract_z
Ho1 Ho 0.000 0.000 0.000
Ho2 Ho 0.250 0.219 0.250
Tm1 Tm 0.000 0.106 0.537
In1 In 0.000 0.196 0.979
In2 In 0.250 0.009 0.250
```



A plane-wave DFT calculation with GGA-PBE was carried out for a relaxed Ho2Tm3In4 crystal.

- crystal system = orthorhombic
- Fermi-level density of states (states/eV per cell) = 26.21
- total magnetization (μB per formula unit) = 0.00
- energy (eV/cell) = -142.57
- energy of formation from the pure elements (eV/atom) = -0.24

Geometry as CIF:
```
data_Ho2Tm3In4
_chemical_formula_sum 'Ho8 Tm12 In16'
_cell_length_a 6.958
_cell_length_b 15.902
_cell_length_c 9.257
_cell_angle_alpha 90.00
_cell_angle_beta 90.00
_cell_angle_gamma 90.00
_space_group_name_H-M_alt 'C m c e'
_space_group_IT_number 64
_space_group_name_Hall '-C 2ac 2'
loop_
_atom_site_label
_atom_site_type_symbol
_atom_site_fract_x
_atom_site_fract_y
_atom_site_fract_z
Ho1 Ho 0.000 0.111 0.063
Tm1 Tm 0.000 0.000 0.500
Tm2 Tm 0.250 0.213 0.750
In1 In 0.000 0.190 0.463
In2 In 0.250 0.021 0.750
```



A plane-wave DFT calculation with GGA-PBE was carried out for a relaxed Ho2Tm4In crystal.

- relative energy among the computed polymorphs (meV per atom) = 19
- crystal system = monoclinic
- Fermi-level density of states (states/eV per cell) = 18.06
- total magnetization (μB per formula unit) = 0.00
- energy (eV/cell) = -59.82
- energy of formation from the pure elements (eV/atom) = -0.02

Geometry as CIF:
```
data_Ho2Tm4In
_chemical_formula_sum 'Ho4 Tm8 In2'
_cell_length_a 5.744
_cell_length_b 6.563
_cell_length_c 11.308
_cell_angle_alpha 90.00
_cell_angle_beta 103.93
_cell_angle_gamma 90.00
_space_group_name_H-M_alt 'P 1 21/m 1'
_space_group_IT_number 11
loop_
_space_group_symop_operation_xyz
'x,y,z'
'-x,-y,-z'
'-x,y+1/2,-z'
'x,-y+1/2,z'
loop_
_atom_site_label
_atom_site_type_symbol
_atom_site_fract_x
_atom_site_fract_y
_atom_site_fract_z
Ho1 Ho 0.062 0.250 0.480
Ho2 Ho 0.337 0.750 0.073
Tm1 Tm 0.158 0.007 0.788
Tm2 Tm 0.217 0.250 0.066
Tm3 Tm 0.373 0.750 0.371
In1 In 0.480 0.250 0.340
```



A plane-wave DFT calculation with GGA-PBE was carried out for a relaxed HoTm12In3 crystal.

- crystal system = tetragonal
- Fermi-level density of states (states/eV per cell) = 17.34
- total magnetization (μB per formula unit) = 0.00
- energy (eV/cell) = -69.40
- energy of formation from the pure elements (eV/atom) = -0.18

Geometry as CIF:
```
data_HoTm12In3
_chemical_formula_sum 'Ho1 Tm12 In3'
_cell_length_a 4.803
_cell_length_b 4.803
_cell_length_c 19.474
_cell_angle_alpha 90.00
_cell_angle_beta 90.00
_cell_angle_gamma 90.00
_space_group_name_H-M_alt 'P 4/m m m'
_space_group_IT_number 123
_space_group_name_Hall '-P 4 2'
loop_
_atom_site_label
_atom_site_type_symbol
_atom_site_fract_x
_atom_site_fract_y
_atom_site_fract_z
Ho1 Ho 0.000 0.000 0.000
Tm1 Tm 0.000 0.500 0.130
Tm2 Tm 0.000 0.500 0.377
Tm3 Tm 0.500 0.500 0.000
Tm4 Tm 0.500 0.500 0.255
Tm5 Tm 0.500 0.500 0.500
In1 In 0.000 0.000 0.256
In2 In 0.000 0.000 0.500
```